# NaMgIn2I5

A relaxed structure of NaMgIn2I5 (PBE-GGA, the Alexandria database).

Values from the calculation:
VASP energy, eV/atom: -2.581

a b c (Å): 4.4479 19.8792 16.3500
angles (deg): 90.00 90.00 90.00
Closest atoms and distances in Å follow each position.
Space group Cmc2_1 (No. 36)
One atom of each set of equivalent atoms:
Na (0.0000, 0.0491, 0.0000)  4 I 3.03-3.21
Mg (0.0000, 0.2714, 0.5800)  6 I 2.95-3.05
In (0.0000, 0.3704, 0.8337)  3 I 3.35-3.59
In (0.0000, 0.4151, 0.1947)  6 I 3.41-3.56
I (0.0000, 0.0037, 0.3264)  1 Na 3.03, 2 In 3.35
I (0.0000, 0.1259, 0.5441)  1 Mg 2.95
I (0.0000, 0.2075, 0.9621)  2 Mg 2.97, 1 Na 3.21
I (0.0000, 0.2440, 0.2062)  2 Mg 3.05, 1 In 3.41
I (0.0000, 0.4174, 0.6219)  1 Mg 2.98, 2 Na 3.06

# ScMnSe2

A relaxed structure of ScMnSe2 (PBE-GGA, the Alexandria database).

Values from the calculation:
Excess energy over the best structure of this formula in the dataset, eV/atom: 0.0000
VASP energy, eV/atom: -6.617

a b c (Å): 3.6699 3.5990 12.6278
angles (deg): 90.00 90.00 90.00
Closest atoms and distances in Å follow each position.
Space group Amm2 (No. 38)
One atom of each set of equivalent atoms:
Sc (0.0000, 0.0000, 0.0000)  6 Se 2.75-2.78
Mn (0.5000, 0.0000, 0.7845)  5 Se 2.54-2.65
Se (0.0000, 0.0000, 0.3355)  4 Mn 2.65, 2 Sc 2.75
Se (0.5000, 0.0000, 0.5836)  1 Mn 2.54, 4 Sc 2.78

# GdSn3

A relaxed structure of GdSn3 (PBE-GGA, the Alexandria database).

Values from the calculation:
VASP energy, eV/atom: -6.997

a b c (Å): 4.7247 4.7247 4.7247
angles (deg): 90.00 90.00 90.00
Closest atoms and distances in Å follow each position.
Space group Pm-3m (No. 221)
One atom of each set of equivalent atoms:
Gd (0.0000, 0.0000, 0.0000)  12 Sn 3.34
Sn (0.0000, 0.5000, 0.5000)  4 Gd 3.34, 8 Sn 3.34

# BaNb

A relaxed structure of BaNb (PBE-GGA, the Alexandria database).

Values from the calculation:
Excess energy over the best structure of this formula in the dataset, eV/atom: 1.4043
VASP energy, eV/atom: -4.004

a b c (Å): 6.9321 6.9321 6.9321
angles (deg): 90.00 90.00 90.00
Closest atoms and distances in Å follow each position.
Space group Fm-3m (No. 225)
One atom of each set of equivalent atoms:
Ba (0.0000, 0.0000, 0.0000)  6 Nb 3.47
Nb (0.0000, 0.0000, 0.5000)  6 Ba 3.47

# Tm6Cd5Hg

A relaxed structure of Tm6Cd5Hg (PBE-GGA, the Alexandria database).

Values from the calculation:
VASP energy, eV/atom: -2.983

a b c (Å): 5.2104 7.3778 8.2587
angles (deg): 90.00 108.15 90.00
Closest atoms and distances in Å follow each position.
Space group P2/m (No. 10)
One atom of each set of equivalent atoms:
Tm (0.0000, 0.2471, 0.0000)  2 Hg 3.18, 6 Cd 3.20-3.24
Tm (0.3348, 0.2499, 0.6694)  7 Cd 3.17-3.21, 1 Hg 3.18
Cd (0.1674, 0.5000, 0.3351)  8 Tm 3.19-3.22
Cd (0.1706, 0.0000, 0.3412)  8 Tm 3.17-3.24
Cd (0.5000, 0.5000, 0.0000)  8 Tm 3.18-3.20
Hg (0.5000, 0.0000, 0.0000)  8 Tm 3.18

# ErCoCu

A relaxed structure of ErCoCu (PBE-GGA, the Alexandria database).

Values from the calculation:
VASP energy, eV/atom: -5.275

a b c (Å): 3.2958 3.2958 9.0881
angles (deg): 90.00 90.00 90.00
Closest atoms and distances in Å follow each position.
Space group I4mm (No. 107)
One atom of each set of equivalent atoms:
Er (0.0000, 0.0000, 0.0000)  5 Cu 2.76-2.93, 5 Co 2.86-2.89
Co (0.0000, 0.0000, 0.6825)  4 Cu 2.58, 5 Er 2.86-2.89
Cu (0.0000, 0.0000, 0.3038)  4 Co 2.58, 1 Er 2.76

# La2IrRu3

A relaxed structure of La2IrRu3 (PBE-GGA, the Alexandria database).

Values from the calculation:
VASP energy, eV/atom: -8.051

a b c (Å): 9.3149 5.3690 5.5441
angles (deg): 90.00 123.88 90.00
Closest atoms and distances in Å follow each position.
Space group C2/m (No. 12)
One atom of each set of equivalent atoms:
La (0.1235, 0.0000, 0.3703)  3 Ir 3.16, 9 Ru 3.18-3.29, 4 La 3.32-3.41
Ir (0.0000, 0.5000, 0.5000)  6 Ru 2.77-2.78
Ru (0.0000, 0.5000, 0.0000)  4 Ru 2.69, 2 Ir 2.77
Ru (0.2500, 0.2500, 0.0000)  4 Ru 2.68-2.69, 2 Ir 2.78

# ZrTaSn2

A relaxed structure of ZrTaSn2 (PBE-GGA, the Alexandria database).

Values from the calculation:
Excess energy over the best structure of this formula in the dataset, eV/atom: 0.2379
VASP energy, eV/atom: -6.816

a b c (Å): 3.1497 3.1497 32.4412
angles (deg): 90.00 90.00 120.00
Closest atoms and distances in Å follow each position.
Space group R-3m (No. 166, hexagonal axes)
One atom of each set of equivalent atoms:
Zr (0.0000, 0.0000, 0.0000)  6 Sn 3.12, 6 Zr 3.15
Ta (0.0000, 0.0000, 0.5000)  2 Sn 2.87, 6 Ta 3.15
Sn (0.0000, 0.0000, 0.4115)  1 Ta 2.87, 3 Zr 3.12, 6 Sn 3.15

# LaPrAl4

A relaxed structure of LaPrAl4 (PBE-GGA, the Alexandria database).

Values from the calculation:
VASP energy, eV/atom: -4.608

a b c (Å): 8.1152 8.1152 8.1152
angles (deg): 90.00 90.00 90.00
Closest atoms and distances in Å follow each position.
Space group F-43m (No. 216)
One atom of each set of equivalent atoms:
La (0.0000, 0.0000, 0.0000)  12 Al 3.36, 4 Pr 3.51
Pr (0.2500, 0.2500, 0.2500)  12 Al 3.36, 4 La 3.51
Al (0.1252, 0.1252, 0.6252)  6 Al 2.86-2.87

# CoNiP2

A relaxed structure of CoNiP2 (PBE-GGA, the Alexandria database).

Values from the calculation:
Excess energy over the best structure of this formula in the dataset, eV/atom: 0.1628
VASP energy, eV/atom: -6.108

a b c (Å): 7.0790 2.7678 4.8345
angles (deg): 90.00 103.03 90.00
Closest atoms and distances in Å follow each position.
Space group C2/m (No. 12)
One atom of each set of equivalent atoms:
Co (0.0000, 0.0000, 0.0000)  6 P 2.33-2.36
Ni (0.0000, 0.5000, 0.5000)  6 P 2.36-2.38
P (0.2463, 0.5000, 0.2423)  3 Co 2.33-2.36, 3 Ni 2.36-2.38

# Ba4SiS6

A relaxed structure of Ba4SiS6 (PBE-GGA, the Alexandria database).

Values from the calculation:
VASP energy, eV/atom: -5.122

a b c (Å): 14.4644 6.6155 15.6926
angles (deg): 90.00 108.33 90.00
Closest atoms and distances in Å follow each position.
Space group Cc (No. 9)
One atom of each set of equivalent atoms:
Ba (0.0000, 0.2329, 0.0000)  3 S 2.95-3.15
Ba (0.1466, 0.2603, 0.4347)  6 S 3.04-3.40
Ba (0.2902, 0.2413, 0.8146)  6 S 3.00-3.34
Ba (0.4533, 0.2446, 0.1838)  4 S 3.10-3.40
Si (0.2058, 0.2649, 0.1977)  4 S 2.10-2.18
S (0.0604, 0.2816, 0.2091)  1 Si 2.17
S (0.1105, 0.2326, 0.8711)  3 Ba 2.95-3.10
S (0.2248, 0.0006, 0.6315)  1 Si 2.10
S (0.2489, 0.4896, 0.6326)  1 Si 2.11
S (0.3091, 0.2566, 0.3330)  1 Si 2.18
S (0.4626, 0.2362, 0.9892)  5 Ba 3.04-3.37

# SrReW2

A relaxed structure of SrReW2 (PBE-GGA, the Alexandria database).

Values from the calculation:
Excess energy over the best structure of this formula in the dataset, eV/atom: 0.0545
VASP energy, eV/atom: -9.206

a b c (Å): 3.0955 3.0955 8.4554
angles (deg): 90.00 90.00 90.00
Closest atoms and distances in Å follow each position.
Space group P4/mmm (No. 123)
One atom of each set of equivalent atoms:
Sr (0.0000, 0.0000, 0.0000)  4 Sr 3.10, 8 W 3.46
Re (0.0000, 0.0000, 0.5000)  8 W 2.68
W (0.5000, 0.5000, 0.3163)  4 Re 2.68